(1)
# GGA-PBE TaTe2W, optimized geometry
data_TaTe2W
_cell_length_a 4.714
_cell_length_b 3.272
_cell_length_c 5.664
_cell_angle_alpha 90.00
_cell_angle_beta 113.59
_cell_angle_gamma 90.00
_symmetry_space_group_name_H-M 'P 1 2/m 1'
_symmetry_Int_Tables_number 10
loop_
_symmetry_equiv_pos_as_xyz
'x,y,z'
'-x,-y,-z'
'-x,y,-z'
'x,-y,z'
loop_
_atom_site_label
_atom_site_type_symbol
_atom_site_fract_x
_atom_site_fract_y
_atom_site_fract_z
Ta1 Ta 0.000 0.000 0.000
Te1 Te 0.500 0.000 0.500
Te2 Te 0.500 0.500 0.000
W1 W 0.000 0.500 0.500
# - total energy (eV per atom) = -7.237
# - ΔE to the lowest computed polymorph (kJ/mol of atoms) = 56.7
# - formation energy without anion corrections (eV per atom) = 0.535

(2)
# GGA-PBE TaTeW3, optimized geometry
data_TaTeW3
_cell_length_a 4.801
_cell_length_b 4.801
_cell_length_c 4.801
_cell_angle_alpha 90.00
_cell_angle_beta 90.00
_cell_angle_gamma 90.00
_symmetry_space_group_name_H-M 'P m -3 m'
_symmetry_Int_Tables_number 221
_symmetry_space_group_name_Hall '-P 4 2 3'
loop_
_atom_site_label
_atom_site_type_symbol
_atom_site_fract_x
_atom_site_fract_y
_atom_site_fract_z
Ta1 Ta 0.000 0.000 0.000
Te1 Te 0.500 0.500 0.500
W1 W 0.000 0.500 0.500
# - total energy (eV per atom) = -8.301
# - ΔE to the lowest computed polymorph (kJ/mol of atoms) = 20.6
# - formation energy without anion corrections (eV per atom) = 2.470

(3)
# GGA-PBE Ta2TeW, optimized geometry
data_Ta2TeW
_cell_length_a 4.161
_cell_length_b 4.161
_cell_length_c 4.233
_cell_angle_alpha 90.00
_cell_angle_beta 90.00
_cell_angle_gamma 90.00
_symmetry_space_group_name_H-M 'P 4/m m m'
_symmetry_Int_Tables_number 123
_symmetry_space_group_name_Hall '-P 4 2'
loop_
_atom_site_label
_atom_site_type_symbol
_atom_site_fract_x
_atom_site_fract_y
_atom_site_fract_z
Ta1 Ta 0.000 0.500 0.000
Te1 Te 0.000 0.000 0.500
W1 W 0.500 0.500 0.500
# - total energy (eV per atom) = -9.457
# - formation energy without anion corrections (eV per atom) = 0.493

(4)
# GGA-PBE TaTe2W, optimized geometry
data_TaTe2W
_cell_length_a 3.374
_cell_length_b 3.374
_cell_length_c 6.766
_cell_angle_alpha 90.00
_cell_angle_beta 90.00
_cell_angle_gamma 90.00
_symmetry_space_group_name_H-M 'P 4/m m m'
_symmetry_Int_Tables_number 123
_symmetry_space_group_name_Hall '-P 4 2'
loop_
_atom_site_label
_atom_site_type_symbol
_atom_site_fract_x
_atom_site_fract_y
_atom_site_fract_z
Ta1 Ta 0.000 0.000 0.000
Te1 Te 0.500 0.500 0.252
W1 W 0.000 0.000 0.500
# - total energy (eV per atom) = -7.274
# - ΔE to the lowest computed polymorph (kJ/mol of atoms) = 53.1
# - formation energy without anion corrections (eV per atom) = 0.498

(5)
# GGA-PBE TaTe2W, optimized geometry
data_TaTe2W
_cell_length_a 3.642
_cell_length_b 4.633
_cell_length_c 5.055
_cell_angle_alpha 90.00
_cell_angle_beta 96.47
_cell_angle_gamma 90.00
_symmetry_space_group_name_H-M 'P 1 2/m 1'
_symmetry_Int_Tables_number 10
loop_
_symmetry_equiv_pos_as_xyz
'x,y,z'
'-x,-y,-z'
'-x,y,-z'
'x,-y,z'
loop_
_atom_site_label
_atom_site_type_symbol
_atom_site_fract_x
_atom_site_fract_y
_atom_site_fract_z
Ta1 Ta 0.000 0.000 0.000
Te1 Te 0.259 0.500 0.747
W1 W 0.500 0.000 0.500
# - total energy (eV per atom) = -6.900
# - ΔE to the lowest computed polymorph (kJ/mol of atoms) = 89.1
# - formation energy without anion corrections (eV per atom) = 0.872

(6)
# GGA-PBE TaTe2W, optimized geometry
data_TaTe2W
_cell_length_a 3.343
_cell_length_b 4.545
_cell_length_c 5.474
_cell_angle_alpha 90.00
_cell_angle_beta 90.00
_cell_angle_gamma 90.00
_symmetry_space_group_name_H-M 'P m m m'
_symmetry_Int_Tables_number 47
loop_
_symmetry_equiv_pos_as_xyz
'x,y,z'
'-x,-y,-z'
'-x,-y,z'
'x,y,-z'
'x,-y,-z'
'-x,y,z'
'-x,y,-z'
'x,-y,z'
loop_
_atom_site_label
_atom_site_type_symbol
_atom_site_fract_x
_atom_site_fract_y
_atom_site_fract_z
Ta1 Ta 0.000 0.000 0.000
Te1 Te 0.000 0.500 0.500
Te2 Te 0.500 0.500 0.000
W1 W 0.500 0.000 0.500
# - total energy (eV per atom) = -6.845
# - ΔE to the lowest computed polymorph (kJ/mol of atoms) = 94.5
# - formation energy without anion corrections (eV per atom) = 0.927

(7)
# GGA-PBE TaTe2W, optimized geometry
data_TaTe2W
_cell_length_a 3.358
_cell_length_b 5.426
_cell_length_c 9.153
_cell_angle_alpha 90.00
_cell_angle_beta 90.00
_cell_angle_gamma 90.00
_symmetry_space_group_name_H-M 'I m m m'
_symmetry_Int_Tables_number 71
_symmetry_space_group_name_Hall '-I 2 2'
loop_
_atom_site_label
_atom_site_type_symbol
_atom_site_fract_x
_atom_site_fract_y
_atom_site_fract_z
Ta1 Ta 0.000 0.000 0.000
Te1 Te 0.000 0.500 0.237
W1 W 0.000 0.000 0.500
# - total energy (eV per atom) = -6.863
# - ΔE to the lowest computed polymorph (kJ/mol of atoms) = 92.8
# - formation energy without anion corrections (eV per atom) = 0.910

(8)
# GGA-PBE TaTe2W, optimized geometry
data_TaTe2W
_cell_length_a 3.374
_cell_length_b 4.391
_cell_length_c 12.558
_cell_angle_alpha 90.00
_cell_angle_beta 90.00
_cell_angle_gamma 90.00
_symmetry_space_group_name_H-M 'I m m 2'
_symmetry_Int_Tables_number 44
loop_
_symmetry_equiv_pos_as_xyz
'x,y,z'
'-x,-y,z'
'-x,y,z'
'x,-y,z'
'x+1/2,y+1/2,z+1/2'
'-x+1/2,-y+1/2,z+1/2'
'-x+1/2,y+1/2,z+1/2'
'x+1/2,-y+1/2,z+1/2'
loop_
_atom_site_label
_atom_site_type_symbol
_atom_site_fract_x
_atom_site_fract_y
_atom_site_fract_z
Ta1 Ta 0.000 0.000 0.000
Te1 Te 0.000 0.000 0.383
Te2 Te 0.000 0.500 0.151
W1 W 0.000 0.500 0.663
# - total energy (eV per atom) = -7.320
# - ΔE to the lowest computed polymorph (kJ/mol of atoms) = 48.6
# - formation energy without anion corrections (eV per atom) = 0.452

(9)
# GGA-PBE TaTe2W, optimized geometry
data_TaTe2W
_cell_length_a 3.360
_cell_length_b 3.360
_cell_length_c 8.108
_cell_angle_alpha 90.00
_cell_angle_beta 90.00
_cell_angle_gamma 90.00
_symmetry_space_group_name_H-M 'P 4 m m'
_symmetry_Int_Tables_number 99
loop_
_symmetry_equiv_pos_as_xyz
'x,y,z'
'-y,x,z'
'-x,-y,z'
'y,-x,z'
'-x,y,z'
'y,x,z'
'x,-y,z'
'-y,-x,z'
loop_
_atom_site_label
_atom_site_type_symbol
_atom_site_fract_x
_atom_site_fract_y
_atom_site_fract_z
Ta1 Ta 0.000 0.000 0.000
Te1 Te 0.000 0.000 0.613
Te2 Te 0.500 0.500 0.215
W1 W 0.500 0.500 0.810
# - total energy (eV per atom) = -7.624
# - ΔE to the lowest computed polymorph (kJ/mol of atoms) = 19.3
# - formation energy without anion corrections (eV per atom) = 0.149

(10)
# GGA-PBE Ta2TeW, optimized geometry
data_Ta2TeW
_cell_length_a 3.405
_cell_length_b 3.426
_cell_length_c 6.512
_cell_angle_alpha 90.00
_cell_angle_beta 93.63
_cell_angle_gamma 90.00
_symmetry_space_group_name_H-M 'P 1 2/m 1'
_symmetry_Int_Tables_number 10
loop_
_symmetry_equiv_pos_as_xyz
'x,y,z'
'-x,-y,-z'
'-x,y,-z'
'x,-y,z'
loop_
_atom_site_label
_atom_site_type_symbol
_atom_site_fract_x
_atom_site_fract_y
_atom_site_fract_z
Ta1 Ta 0.014 0.000 0.224
Te1 Te 0.500 0.500 0.500
W1 W 0.500 0.500 0.000
# - total energy (eV per atom) = -9.725
# - formation energy without anion corrections (eV per atom) = 0.225

(11)
# GGA-PBE Ta3TeW, optimized geometry
data_Ta3TeW
_cell_length_a 4.891
_cell_length_b 4.891
_cell_length_c 4.891
_cell_angle_alpha 90.00
_cell_angle_beta 90.00
_cell_angle_gamma 90.00
_symmetry_space_group_name_H-M 'P m -3 m'
_symmetry_Int_Tables_number 221
_symmetry_space_group_name_Hall '-P 4 2 3'
loop_
_atom_site_label
_atom_site_type_symbol
_atom_site_fract_x
_atom_site_fract_y
_atom_site_fract_z
Ta1 Ta 0.000 0.000 0.500
Te1 Te 0.000 0.000 0.000
W1 W 0.500 0.500 0.500
# - total energy (eV per atom) = -8.111
# - ΔE to the lowest computed polymorph (kJ/mol of atoms) = 80.5
# - formation energy without anion corrections (eV per atom) = 2.219

(12)
# GGA-PBE Ta2TeW, optimized geometry
data_Ta2TeW
_cell_length_a 3.472
_cell_length_b 4.678
_cell_length_c 8.990
_cell_angle_alpha 90.00
_cell_angle_beta 90.00
_cell_angle_gamma 90.00
_symmetry_space_group_name_H-M 'I m m m'
_symmetry_Int_Tables_number 71
_symmetry_space_group_name_Hall '-I 2 2'
loop_
_atom_site_label
_atom_site_type_symbol
_atom_site_fract_x
_atom_site_fract_y
_atom_site_fract_z
Ta1 Ta 0.000 0.000 0.244
Te1 Te 0.000 0.500 0.000
W1 W 0.000 0.500 0.500
# - total energy (eV per atom) = -9.638
# - formation energy without anion corrections (eV per atom) = 0.312